# 1
Computed, not measured: crystalline HoTmCo4 at its relaxed geometry at the PBE level of DFT.

The structure belongs to space group F-43m (No. 216); the cell edges are 7.123, 7.123 and 7.123 Å and the angles 90.00°, 90.00° and 90.00°. The inequivalent atoms are Ho at (0.000, 0.000, 0.000), Tm at (0.250, 0.250, 0.750) and Co at (0.125, 0.125, 0.375).


# 2
Computed, not measured: crystalline HoTmCo at its relaxed geometry at the PBE level of DFT.

The structure belongs to space group I4mm (No. 107); the cell edges are 3.332, 3.332 and 12.458 Å and the angles 90.00°, 90.00° and 90.00°. The inequivalent atoms are Ho at (0.000, 0.000, 0.000), Tm at (0.000, 0.000, 0.743) and Co at (0.000, 0.000, 0.370).

The value obtained for the energy above the lowest structure with this stoichiometry is 0.000 eV/atom.


# 3
Computed, not measured: crystalline Ho4Tm3Co2 at its relaxed geometry at the PBE level of DFT.

The structure belongs to space group C2/m (No. 12); the cell edges are 16.145, 3.571 and 8.831 Å and the angles 90.00°, 113.04° and 90.00°. The inequivalent atoms are Ho at (0.135, 0.000, 0.393), Ho at (0.229, 0.500, 0.148), Tm at (0.000, 0.500, 0.000), Tm at (0.072, 0.500, 0.693) and Co at (0.118, 0.000, 0.937).


# 4
Computed, not measured: crystalline HoTm12Co5 at its relaxed geometry at the PBE level of DFT.

The structure belongs to space group Immm (No. 71); the cell edges are 9.296, 9.323 and 9.909 Å and the angles 90.00°, 90.00° and 90.00°. The inequivalent atoms are Ho at (0.000, 0.000, 0.000), Tm at (0.000, 0.191, 0.294), Tm at (0.188, 0.500, 0.314), Tm at (0.212, 0.318, 0.000), Co at (0.000, 0.000, 0.500), Co at (0.000, 0.373, 0.500) and Co at (0.000, 0.500, 0.113).


# 5
Computed, not measured: crystalline HoTm4Co5 at its relaxed geometry at the PBE level of DFT.

The structure belongs to space group P4/mmm (No. 123); the cell edges are 3.300, 3.300 and 16.414 Å and the angles 90.00°, 90.00° and 90.00°. The inequivalent atoms are Ho at (0.000, 0.000, 0.000), Tm at (0.000, 0.000, 0.201), Tm at (0.000, 0.000, 0.400), Co at (0.500, 0.500, 0.102), Co at (0.500, 0.500, 0.301) and Co at (0.500, 0.500, 0.500).


# 6
Computed, not measured: crystalline Ho3Tm5Co2 at its relaxed geometry at the PBE level of DFT.

The structure belongs to space group Ibam (No. 72); the cell edges are 10.018, 14.532 and 7.578 Å and the angles 90.00°, 90.00° and 90.00°. The inequivalent atoms are Ho at (0.000, 0.000, 0.250), Ho at (0.242, 0.376, 0.000), Tm at (0.000, 0.254, 0.250), Tm at (0.000, 0.500, 0.250), Tm at (0.242, 0.375, 0.500) and Co at (0.001, 0.131, 0.000).


# 7
Computed, not measured: crystalline HoTm2Co at its relaxed geometry at the PBE level of DFT.

The structure belongs to space group Pnma (No. 62); the cell edges are 6.890, 9.224 and 6.181 Å and the angles 90.00°, 90.00° and 90.00°. The inequivalent atoms are Ho at (0.042, 0.250, 0.138), Tm at (0.175, 0.067, 0.677) and Co at (0.113, 0.750, 0.454).

The value obtained for the energy above the lowest structure with this stoichiometry is 0.000 eV/atom.


# 8
Computed, not measured: crystalline HoTm4Co2 at its relaxed geometry at the PBE level of DFT.

The structure belongs to space group P2_1/m (No. 11); the cell edges are 7.489, 6.227 and 7.772 Å and the angles 90.00°, 113.20° and 90.00°. The inequivalent atoms are Ho at (0.025, 0.250, 0.168), Tm at (0.242, 0.501, 0.586), Tm at (0.325, 0.750, 0.251), Tm at (0.376, 0.250, 0.018), Co at (0.015, 0.250, 0.728) and Co at (0.409, 0.250, 0.372).


# 9
Computed, not measured: crystalline HoTmCo10 at its relaxed geometry at the PBE level of DFT.

The structure belongs to space group Pmmm (No. 47); the cell edges are 3.948, 4.892 and 8.479 Å and the angles 90.00°, 90.00° and 90.00°. The inequivalent atoms are Ho at (0.000, 0.000, 0.000), Tm at (0.000, 0.500, 0.500), Co at (0.000, 0.000, 0.334), Co at (0.000, 0.500, 0.169), Co at (0.500, 0.000, 0.500), Co at (0.500, 0.251, 0.251) and Co at (0.500, 0.500, 0.000).


# 10
Computed, not measured: crystalline Ho4TmCo4 at its relaxed geometry at the PBE level of DFT.

The structure belongs to space group P4_2/n (No. 86, origin choice 2); the cell edges are 8.335, 8.335 and 5.545 Å and the angles 90.00°, 90.00° and 90.00°. The inequivalent atoms are Ho at (0.060, 0.675, 0.131), Tm at (0.250, 0.250, 0.250) and Co at (0.011, 0.613, 0.614).


# 11
Computed, not measured: crystalline HoTmCo at its relaxed geometry at the PBE level of DFT.

The structure belongs to space group F-43m (No. 216); the cell edges are 6.565, 6.565 and 6.565 Å and the angles 90.00°, 90.00° and 90.00°. The inequivalent atoms are Ho at (0.000, 0.000, 0.000), Tm at (0.000, 0.000, 0.500) and Co at (0.250, 0.250, 0.250).

The value obtained for the energy above the lowest structure with this stoichiometry is 0.066 eV/atom.


# 12
Computed, not measured: crystalline Ho6TmCo2 at its relaxed geometry at the PBE level of DFT.

The structure belongs to space group Immm (No. 71); the cell edges are 9.392, 9.918 and 9.992 Å and the angles 90.00°, 90.00° and 90.00°. The inequivalent atoms are Ho at (0.000, 0.212, 0.243), Ho at (0.183, 0.500, 0.180), Ho at (0.212, 0.316, 0.500), Tm at (0.000, 0.000, 0.000), Tm at (0.000, 0.000, 0.500), Co at (0.000, 0.292, 0.000) and Co at (0.000, 0.500, 0.385).


# 13
Computed, not measured: crystalline Ho8TmCo2 at its relaxed geometry at the PBE level of DFT.

The structure belongs to space group C2/m (No. 12); the cell edges are 12.398, 7.943 and 6.349 Å and the angles 90.00°, 91.49° and 90.00°. The inequivalent atoms are Ho at (0.115, 0.000, 0.203), Ho at (0.135, 0.500, 0.075), Ho at (0.156, 0.211, 0.686), Tm at (0.000, 0.500, 0.500) and Co at (0.215, 0.500, 0.505).


# 14
Computed, not measured: crystalline HoUCo2 at its relaxed geometry at the PBE level of DFT.

The structure belongs to space group P4/mmm (No. 123); the cell edges are 4.741, 4.741 and 3.160 Å and the angles 90.00°, 90.00° and 90.00°. The inequivalent atoms are Ho at (0.000, 0.000, 0.000), U at (0.500, 0.500, 0.000) and Co at (0.000, 0.500, 0.500).


# 15
Computed, not measured: crystalline HoUCo2 at its relaxed geometry at the PBE level of DFT.

The structure belongs to space group P4/mmm (No. 123); the cell edges are 3.270, 3.270 and 6.714 Å and the angles 90.00°, 90.00° and 90.00°. The inequivalent atoms are Ho at (0.000, 0.000, 0.000), U at (0.000, 0.000, 0.500) and Co at (0.500, 0.500, 0.300).


# 16
Computed, not measured: crystalline Ho4UCo5 at its relaxed geometry at the PBE level of DFT.

The structure belongs to space group I4mm (No. 107); the cell edges are 8.958, 8.958 and 4.802 Å and the angles 90.00°, 90.00° and 90.00°. The inequivalent atoms are Ho at (0.000, 0.289, 0.000), U at (0.000, 0.000, 0.597), Co at (0.000, 0.000, 0.109) and Co at (0.179, 0.179, 0.483).


# 17
Computed, not measured: crystalline Ho2UCo at its relaxed geometry at the PBE level of DFT.

The structure belongs to space group R-3m (No. 166, hexagonal axes); the cell edges are 3.2123, 3.2123 and 30.9635 Å and the angles 90.00°, 90.00° and 120.00°. The inequivalent atoms are Ho at (0.0000, 0.0000, 0.1040), U at (0.0000, 0.0000, 0.0000) and Co at (0.0000, 0.0000, 0.5000).


# 18
Computed, not measured: crystalline HoVCo2 at its relaxed geometry at the PBE level of DFT.

The structure belongs to space group R-3m (No. 166, hexagonal axes); the cell edges are 3.9698, 3.9698 and 14.5085 Å and the angles 90.00°, 90.00° and 120.00°. The inequivalent atoms are Ho at (0.0000, 0.0000, 0.0000), V at (0.0000, 0.0000, 0.5000) and Co at (0.0000, 0.0000, 0.2024).

The value obtained for the energy above the lowest structure with this stoichiometry is 0.000 eV/atom.


# 19
Computed, not measured: crystalline HoVCo2 at its relaxed geometry at the PBE level of DFT.

The structure belongs to space group P4/mmm (No. 123); the cell edges are 2.955, 2.955 and 6.783 Å and the angles 90.00°, 90.00° and 90.00°. The inequivalent atoms are Ho at (0.000, 0.000, 0.000), V at (0.000, 0.000, 0.500) and Co at (0.500, 0.500, 0.309).

The value obtained for the energy above the lowest structure with this stoichiometry is 0.022 eV/atom.


# 20
Computed, not measured: crystalline Ho2V2Co15 at its relaxed geometry at the PBE level of DFT.

The structure belongs to space group R-3m (No. 166, hexagonal axes); the cell edges are 8.3027, 8.3027 and 12.1563 Å and the angles 90.00°, 90.00° and 120.00°. The inequivalent atoms are Ho at (0.0000, 0.0000, 0.1524), V at (0.0000, 0.0000, 0.4038), Co at (0.0000, 0.2932, 0.5000), Co at (0.0000, 0.5000, 0.0000) and Co at (0.0018, 0.5009, 0.3469).


| no. | DFT formation energy (meV/atom) |
| --- | --- |
| 1 | -246 |
| 2 | -153 |
| 3 | -122 |
| 4 | -154 |
| 5 | -210 |
| 6 | -46 |
| 7 | -193 |
| 8 | -95 |
| 9 | -124 |
| 10 | -82 |
| 11 | -87 |
| 12 | -82 |
| 13 | 9 |
| 14 | -23 |
| 15 | -128 |
| 16 | -123 |
| 17 | 446 |
| 18 | -102 |
| 19 | -79 |
| 20 | -128 |